Material: Ba2PmPuS6
Method: DFT, PBE
State: optimized geometry

Total magnetization = 3.0 μB/f.u.
Space group = No. 14
ΔE_f (raw) = -17.61 eV/f.u.

Unit cell a=7.247 b=7.550 c=10.417 alpha=90.00 beta=90.15 gamma=90.00
Site moments in Bohr magnetons follow the coordinates.
Atoms (fractional coordinates):
Pu (0.500, 0.000, 0.500)  3.97
Pu (0.000, 0.500, 0.000)  3.97
S (0.693, 0.288, 0.548)  -0.11
S (0.289, 0.696, 0.046)  -0.11
S (0.307, 0.712, 0.452)  -0.11
S (0.088, 0.477, 0.759)  -0.11
S (0.789, 0.804, 0.546)  -0.11
S (0.711, 0.304, 0.954)  -0.11
S (0.412, 0.977, 0.741)  -0.11
S (0.912, 0.523, 0.241)  -0.11
S (0.807, 0.788, 0.952)  -0.11
S (0.211, 0.196, 0.454)  -0.11
S (0.588, 0.023, 0.259)  -0.11
S (0.193, 0.212, 0.048)  -0.11
Ba (0.482, 0.437, 0.250)  0.00
Ba (0.018, 0.937, 0.250)  0.00
Ba (0.518, 0.563, 0.750)  0.00
Ba (0.982, 0.063, 0.750)  0.00
Pm (0.000, 0.500, 0.500)  -0.02
Pm (0.500, 0.000, 0.000)  -0.02